[1]
VASP calculation (PBE) on a relaxed structure of Tb5Bi5Pt.

Geometry as CIF:
```
data_Tb5Bi5Pt
_space_group_name_H-M_alt 'P 1'
_space_group_IT_number 1
_space_group_name_Hall 'P 1'
_cell_length_a 6.174
_cell_length_b 7.604
_cell_length_c 8.864
_cell_angle_alpha 108.82
_cell_angle_beta 90.00
_cell_angle_gamma 113.95
loop_
_atom_site_label
_atom_site_type_symbol
_atom_site_fract_x
_atom_site_fract_y
_atom_site_fract_z
Pt1 Pt 0.000 0.000 0.000
Bi1 Bi 0.672 0.343 0.340
Bi2 Bi 0.355 0.711 0.207
Tb1 Tb 0.500 0.000 0.000
Tb2 Tb 0.160 0.320 0.311
Tb3 Tb 0.834 0.667 0.148
Bi3 Bi 0.645 0.289 0.793
Bi4 Bi 0.328 0.657 0.660
Tb4 Tb 0.840 0.680 0.689
Bi5 Bi 0.000 0.000 0.500
Tb5 Tb 0.166 0.333 0.852
```

Computed properties:
SG: C2/m, No. 12
Spin magnetization (μB per cell): 0.00
E_form (eV/atom): -0.605

[2]
VASP calculation (PBE) on a relaxed structure of Tb7Bi2Pt2.

Geometry as CIF:
```
data_Tb7Bi2Pt2
_space_group_name_H-M_alt 'P 1'
_space_group_IT_number 1
_space_group_name_Hall 'P 1'
_cell_length_a 7.029
_cell_length_b 7.049
_cell_length_c 7.029
_cell_angle_alpha 90.00
_cell_angle_beta 102.55
_cell_angle_gamma 90.00
loop_
_atom_site_label
_atom_site_type_symbol
_atom_site_fract_x
_atom_site_fract_y
_atom_site_fract_z
Tb1 Tb 0.500 0.766 0.500
Tb2 Tb 0.000 0.754 0.500
Tb3 Tb 0.500 0.246 0.000
Pt1 Pt 0.721 0.000 0.279
Bi1 Bi 0.805 0.500 0.805
Tb4 Tb 0.500 0.754 0.000
Pt2 Pt 0.279 0.000 0.721
Tb5 Tb 0.500 0.234 0.500
Bi2 Bi 0.195 0.500 0.195
Tb6 Tb 0.000 0.000 0.000
Tb7 Tb 0.000 0.246 0.500
```

Computed properties:
SG: Cmmm, No. 65
Energy above the most stable polymorph in this dataset (eV/atom): 0.152
Spin magnetization (μB per cell): 0.00
E_form (eV/atom): -0.638

[3]
VASP calculation (PBE) on a relaxed structure of Tb4BiPt.

Geometry as CIF:
```
data_Tb4BiPt
_space_group_name_H-M_alt 'P 1'
_space_group_IT_number 1
_space_group_name_Hall 'P 1'
_cell_length_a 5.558
_cell_length_b 6.378
_cell_length_c 10.569
_cell_angle_alpha 90.00
_cell_angle_beta 105.24
_cell_angle_gamma 90.00
loop_
_atom_site_label
_atom_site_type_symbol
_atom_site_fract_x
_atom_site_fract_y
_atom_site_fract_z
Bi1 Bi 0.848 0.822 0.696
Tb1 Tb 0.700 0.572 0.399
Pt1 Pt 0.416 0.322 0.833
Tb2 Tb 0.300 0.072 0.601
Tb3 Tb 0.894 0.322 0.789
Bi2 Bi 0.152 0.322 0.304
Tb4 Tb 0.300 0.573 0.600
Tb5 Tb 0.550 0.322 0.101
Tb6 Tb 0.106 0.822 0.211
Pt2 Pt 0.584 0.822 0.167
Tb7 Tb 0.700 0.073 0.400
Tb8 Tb 0.450 0.822 0.899
```

Computed properties:
SG: Cmcm, No. 63
Spin magnetization (μB per cell): 0.00
E_form (eV/atom): -0.598

[4]
VASP calculation (PBE) on a relaxed structure of Tb6Bi2Pt.

Geometry as CIF:
```
data_Tb6Bi2Pt
_space_group_name_H-M_alt 'P 1'
_space_group_IT_number 1
_space_group_name_Hall 'P 1'
_cell_length_a 6.925
_cell_length_b 6.925
_cell_length_c 13.842
_cell_angle_alpha 90.00
_cell_angle_beta 90.00
_cell_angle_gamma 90.00
loop_
_atom_site_label
_atom_site_type_symbol
_atom_site_fract_x
_atom_site_fract_y
_atom_site_fract_z
Tb1 Tb 0.313 0.313 0.352
Tb2 Tb 0.217 0.783 0.500
Pt1 Pt 0.000 0.000 0.000
Tb3 Tb 0.187 0.813 0.852
Tb4 Tb 0.687 0.687 0.352
Tb5 Tb 0.783 0.217 0.500
Tb6 Tb 0.717 0.717 0.000
Tb7 Tb 0.687 0.687 0.648
Pt2 Pt 0.500 0.500 0.500
Tb8 Tb 0.813 0.187 0.148
Tb9 Tb 0.283 0.283 0.000
Tb10 Tb 0.187 0.813 0.148
Tb11 Tb 0.813 0.187 0.852
Bi1 Bi 0.500 0.500 0.170
Bi2 Bi 0.500 0.500 0.830
Bi3 Bi 0.000 0.000 0.330
Tb12 Tb 0.313 0.313 0.648
Bi4 Bi 0.000 0.000 0.670
```

Computed properties:
SG: P4_2/mnm, No. 136
Spin magnetization (μB per cell): 2.07
E_form (eV/atom): -0.347